First-principles (PBE+U) data for an optimized crystal structure of MgTi3V5O16, as listed in Alexandria via LeMat-Bulk.

Lattice parameters (Å, degrees): 5.9137 5.9242 9.4184 89.53 88.88 60.10
With the nearest neighbours (Å) after each atom.
Positions (direct):
Mg 0.0000 0.0000 0.0000  6 O 2.02-2.25
Ti 0.3153 0.3499 0.7707  6 O 1.94-2.05
Ti 0.5130 0.4945 0.2582  4 O 1.85-2.05
Ti 0.8168 0.3419 0.7352  4 O 1.87-2.08
V 0.3125 0.8489 0.5385  6 O 1.98-2.13
V 0.4424 0.0326 0.2536  3 O 1.81-1.98
V 0.7848 0.8441 0.7592  5 O 1.81-2.01
V 0.9615 0.5199 0.0367  6 O 2.02-2.09
V 0.9805 0.9522 0.2972  2 O 1.74-1.94
O 0.1030 0.2272 0.8874  1 Mg 2.02, 2 Ti 2.04-2.08, 1 V 2.06
O 0.1130 0.6677 0.8897  1 Ti 1.99, 1 Mg 2.02, 2 V 2.05-2.10
O 0.1536 0.1178 0.3899  3 V 1.95-1.98
O 0.1613 0.6773 0.4002  1 V 1.74
O 0.2785 0.8401 0.1567  2 V 2.01-2.06, 1 Ti 2.05, 1 Mg 2.07
O 0.2957 0.3349 0.1556  1 V 1.81
O 0.4597 0.0260 0.6590  2 V 1.93-2.03, 1 Ti 1.97
O 0.4753 0.5133 0.6573  2 Ti 1.91-1.96, 1 V 2.06
O 0.5949 0.6980 0.3706  1 Ti 1.85, 1 V 2.04
O 0.6233 0.1778 0.3630  1 Ti 1.92, 2 V 1.94-1.98
O 0.6466 0.1800 0.8679  2 Ti 1.94-2.10, 1 V 2.01
O 0.6796 0.6727 0.8791  1 V 1.81
O 0.8035 0.8527 0.1503  3 V 2.01-2.08, 1 Mg 2.25
O 0.8100 0.3240 0.1431  1 Ti 1.86, 1 V 2.03
O 0.9703 0.0071 0.6572  1 Ti 1.87, 2 V 2.01-2.06
O 0.9826 0.5101 0.6527  2 Ti 1.87-2.05, 1 V 1.99

Results
electronic total energy	-8.05	eV per atom

First-principles (PBE+U) data for an optimized crystal structure of MgTi3V5O16, as listed in Alexandria via LeMat-Bulk.

Lattice parameters (Å, degrees): 5.9041 5.9194 9.8681 80.37 81.23 61.03
With the nearest neighbours (Å) after each atom.
Positions (direct):
Mg 0.0000 0.0000 0.0000  6 O 2.04-2.24
Ti 0.0058 0.4661 0.2372  3 O 1.78-1.94
Ti 0.2278 0.2165 0.7158  4 O 1.83-1.97
Ti 0.4808 0.9689 0.2480  4 O 1.83-2.00
V 0.2103 0.6994 0.7411  6 O 1.97-2.11
V 0.4410 0.4193 0.4653  6 O 1.94-2.15
V 0.6742 0.6722 0.9335  4 O 1.77-1.90
V 0.6979 0.2352 0.7311  2 O 1.77-1.96
V 0.9658 0.9576 0.2840  3 O 1.77-1.99
O 0.0572 0.0576 0.6510  1 Ti 1.90, 2 V 1.96-1.97
O 0.1163 0.5333 0.6127  1 Ti 1.83, 1 V 2.01
O 0.1290 0.6724 0.1418  1 Ti 1.78
O 0.1562 0.1251 0.1498  2 Ti 2.00-2.05, 1 V 2.05, 1 Mg 2.24
O 0.2962 0.2595 0.3496  2 Ti 1.89-1.94, 1 V 2.09
O 0.3005 0.7590 0.3608  2 V 1.94, 1 Ti 2.09
O 0.3471 0.8515 0.8679  1 V 1.86
O 0.3604 0.3427 0.8418  1 Ti 1.97, 2 V 1.98-2.00
O 0.5514 0.0975 0.6177  1 Ti 1.86, 1 V 1.99
O 0.5679 0.5314 0.6233  1 V 1.77
O 0.6893 0.6414 0.1137  1 V 1.77
O 0.6913 0.0925 0.1449  1 Ti 1.83, 1 Mg 2.04, 1 V 2.05
O 0.7934 0.7388 0.3529  2 Ti 1.92-2.00, 1 V 1.99
O 0.7954 0.2483 0.3650  1 V 1.77
O 0.8534 0.8626 0.8625  1 V 1.88
O 0.8611 0.3439 0.8627  2 V 1.90-2.07, 1 Mg 2.11

Results
electronic total energy	-8.02	eV per atom

First-principles (PBE+U) data for an optimized crystal structure of MgTi3V5O16, as listed in Alexandria via LeMat-Bulk.

Lattice parameters (Å, degrees): 5.8930 5.9467 9.3242 89.60 88.75 60.71
With the nearest neighbours (Å) after each atom.
Positions (direct):
Mg 0.0000 0.0000 0.0000  6 O 2.00-2.23
Ti 0.0236 0.0370 0.6950  3 O 1.80-1.92
Ti 0.1750 0.6736 0.2712  5 O 1.88-2.10
Ti 0.4946 0.5014 0.7384  4 O 1.87-2.04
V 0.0389 0.4827 0.9649  6 O 2.03-2.10
V 0.1972 0.1752 0.2376  4 O 1.79-2.00
V 0.5512 0.9697 0.7502  3 O 1.79-1.99
V 0.6658 0.1629 0.4591  4 O 1.81-2.00
V 0.6838 0.6609 0.2331  6 O 2.01-2.13
O 0.0086 0.4988 0.3496  1 Ti 1.88, 2 V 1.98-2.01
O 0.0096 0.0103 0.3539  1 Ti 1.91, 2 V 2.00-2.09
O 0.1908 0.1495 0.8471  1 Ti 2.04, 2 V 2.04-2.05, 1 Mg 2.23
O 0.1931 0.6730 0.8527  1 Ti 1.87, 1 V 2.04
O 0.3194 0.3373 0.1231  1 V 1.79
O 0.3330 0.8375 0.1404  2 V 1.98-2.02, 1 Ti 2.03, 1 Mg 2.18
O 0.3782 0.8216 0.6326  2 Ti 1.92-1.95, 1 V 1.99
O 0.4036 0.3012 0.6239  1 Ti 1.87, 2 V 2.02-2.09
O 0.5057 0.4967 0.3531  1 Ti 1.88, 2 V 2.00-2.06
O 0.5253 0.0115 0.3526  2 V 1.81-2.02
O 0.7001 0.6689 0.8444  1 V 1.79
O 0.7185 0.1614 0.8420  1 V 2.04, 2 Ti 2.04-2.06, 1 Mg 2.09
O 0.8264 0.3258 0.5959  1 Ti 1.80
O 0.8376 0.8871 0.6067  1 Ti 1.92, 2 V 1.99-2.00
O 0.8913 0.3290 0.1091  3 V 2.00-2.08, 1 Mg 2.01
O 0.8933 0.7777 0.1125  1 Mg 2.00, 2 V 2.01-2.05, 1 Ti 2.10

Results
electronic total energy	-8.04	eV per atom

First-principles (PBE+U) data for an optimized crystal structure of MgTi3V5O16, as listed in Alexandria via LeMat-Bulk.

Lattice parameters (Å, degrees): 5.8916 5.9165 9.4294 88.92 89.02 60.60
With the nearest neighbours (Å) after each atom.
Positions (direct):
Mg 0.0000 0.0000 0.0000  5 O 2.03-2.15
Ti 0.3437 0.3471 0.2174  6 O 1.91-2.12
Ti 0.5286 0.0485 0.7386  4 O 1.87-2.08
Ti 0.9968 0.5005 0.7462  4 O 1.85-2.04
V 0.0728 0.9598 0.7043  1 O 1.73
V 0.3561 0.8424 0.2558  4 O 1.79-1.99
V 0.5195 0.5259 0.9631  6 O 2.01-2.11
V 0.8418 0.3529 0.2544  5 O 1.81-2.02
V 0.8475 0.8372 0.4612  6 O 1.97-2.11
O 0.9996 0.0046 0.3409  3 V 1.96-1.99
O 0.0025 0.5044 0.3415  1 V 1.81
O 0.1666 0.1646 0.1341  1 Ti 2.01, 2 V 2.02, 1 Mg 2.13
O 0.1674 0.6902 0.6005  1 V 1.73
O 0.2033 0.1882 0.6357  2 Ti 1.94-1.95, 1 V 1.95
O 0.2100 0.6638 0.1099  1 Ti 1.91, 1 Mg 2.03, 1 V 2.10
O 0.3501 0.8586 0.8481  2 V 1.99-2.02, 1 Ti 2.12
O 0.3640 0.3520 0.8443  1 Ti 1.87, 1 V 2.04
O 0.4936 0.4940 0.3419  1 Ti 1.93, 2 V 1.97
O 0.5011 0.0045 0.3433  1 V 1.79
O 0.6494 0.6501 0.1232  3 V 1.97-2.01
O 0.6613 0.2127 0.1092  1 Ti 1.92, 1 Mg 2.03, 1 V 2.11
O 0.7212 0.6948 0.6244  1 Ti 1.86, 1 V 2.04
O 0.7275 0.1263 0.6075  1 Ti 1.89, 2 V 2.00-2.05
O 0.8705 0.3246 0.8563  1 Ti 1.85, 1 V 2.07
O 0.8816 0.8456 0.8429  1 V 2.02, 2 Ti 2.04-2.08, 1 Mg 2.06

Results
electronic total energy	-8.04	eV per atom

First-principles (PBE+U) data for an optimized crystal structure of MgTi3V5O16, as listed in Alexandria via LeMat-Bulk.

Lattice parameters (Å, degrees): 5.9372 5.9459 9.3158 90.66 90.01 119.67
With the nearest neighbours (Å) after each atom.
Positions (direct):
Mg 0.0000 0.0000 0.0000  4 O 1.94-2.00
Ti 0.3238 0.1526 0.6660  5 O 1.88-2.03
Ti 0.4999 0.5013 0.1770  6 O 1.92-2.05
Ti 0.7996 0.6703 0.6645  4 O 1.83-2.05
V 0.9996 0.5070 0.1840  6 O 1.86-2.06
V 0.0017 0.0109 0.4061  6 O 1.96-2.14
V 0.3168 0.6662 0.8873  3 O 1.78-1.94
V 0.5062 0.0097 0.1809  6 O 1.87-2.04
V 0.8282 0.1686 0.6835  6 O 1.99-2.07
O 0.0037 0.9925 0.7913  1 Mg 1.94, 2 Ti 2.03-2.05, 1 V 2.07
O 0.0170 0.5108 0.7909  1 V 1.78
O 0.1375 0.8552 0.5496  2 Ti 1.88-2.06, 1 V 2.02
O 0.1402 0.2842 0.5534  1 Ti 1.94, 2 V 1.96-2.03
O 0.1880 0.3776 0.0487  1 Mg 2.00, 1 Ti 2.01, 2 V 2.06-2.13
O 0.1896 0.8146 0.0503  1 Mg 1.99, 3 V 2.04-2.07
O 0.3403 0.1657 0.2756  1 V 1.87, 1 Ti 1.97
O 0.3442 0.6693 0.2809  1 Ti 1.92, 2 V 1.99-2.00
O 0.4906 0.9924 0.7865  2 V 1.94-1.99, 1 Ti 2.03
O 0.4957 0.5144 0.7861  1 V 1.94, 2 Ti 1.94-2.17
O 0.6240 0.8168 0.0483  1 Mg 1.99, 2 V 2.02-2.17, 1 Ti 2.05
O 0.6560 0.3404 0.5756  2 Ti 1.89-1.92, 1 V 2.04
O 0.6719 0.3366 0.0739  2 V 1.97, 1 Ti 1.97
O 0.7014 0.8554 0.5503  1 Ti 1.83, 1 V 2.03
O 0.8464 0.6766 0.2762  1 V 1.86, 1 Ti 2.01
O 0.8470 0.1695 0.2741  3 V 1.95-2.03

Results
electronic total energy	-8.06	eV per atom

First-principles (PBE+U) data for an optimized crystal structure of MgTi3V5O16, as listed in Alexandria via LeMat-Bulk.

Lattice parameters (Å, degrees): 5.8597 5.8808 9.8070 81.81 81.31 61.66
With the nearest neighbours (Å) after each atom.
Positions (direct):
Mg 0.0000 0.0000 0.0000  6 O 2.06-2.15
Ti 0.0421 0.0358 0.7065  4 O 1.85-2.07
Ti 0.2928 0.7477 0.2735  4 O 1.81-1.97
Ti 0.8159 0.2964 0.2702  5 O 1.83-2.04
V 0.0225 0.5222 0.7642  1 O 1.76
V 0.3281 0.3253 0.0612  4 O 1.85-1.99
V 0.5276 0.0195 0.7631  1 O 1.77
V 0.5776 0.5706 0.5417  5 O 1.95-2.18
V 0.7479 0.8173 0.2715  4 O 1.78-1.99
O 0.1230 0.6648 0.1436  1 Ti 1.97, 2 V 1.99-2.20, 1 Mg 2.13
O 0.1318 0.1408 0.1448  1 Ti 1.95, 1 V 1.95, 1 Mg 2.14
O 0.2187 0.7111 0.6378  1 Ti 1.86, 1 V 1.99
O 0.2291 0.2225 0.6450  1 Ti 1.88, 2 V 2.02
O 0.3286 0.8930 0.8612  1 V 1.77
O 0.3457 0.3436 0.8700  3 V 1.85-2.04
O 0.4537 0.8993 0.3817  1 V 1.78
O 0.4570 0.4471 0.3789  1 Ti 1.81
O 0.6286 0.6446 0.1605  2 Ti 1.97-2.04, 1 V 1.98
O 0.6634 0.1342 0.1421  2 V 1.97-1.99, 1 Mg 2.11, 1 Ti 2.19
O 0.7197 0.2102 0.6385  1 Ti 1.85, 1 V 2.02
O 0.7215 0.7136 0.6524  3 V 1.95-1.99
O 0.8661 0.8629 0.8524  2 V 2.03, 1 Ti 2.07, 1 Mg 2.15
O 0.8936 0.3265 0.8617  1 V 1.76
O 0.8942 0.4698 0.3812  1 Ti 1.83, 1 V 2.01
O 0.9383 0.9484 0.3587  2 Ti 1.93-1.96, 1 V 1.97

Results
electronic total energy	-8.02	eV per atom

First-principles (PBE+U) data for an optimized crystal structure of MgTi3V5O16, as listed in Alexandria via LeMat-Bulk.

Lattice parameters (Å, degrees): 5.9099 5.9917 9.6396 88.78 89.43 60.46
With the nearest neighbours (Å) after each atom.
Positions (direct):
Mg 0.0000 0.0000 0.0000  4 O 1.90-2.02
Ti 0.1443 0.6591 0.2348  4 O 1.86-1.98
Ti 0.3796 0.7450 0.7121  4 O 1.81-2.00
Ti 0.8221 0.8449 0.6957  5 O 1.84-2.05
V 0.2224 0.1388 0.2260  6 O 1.99-2.17
V 0.3479 0.3004 0.5001  3 O 1.82-1.99
V 0.6746 0.2240 0.2603  4 O 1.76-1.95
V 0.6808 0.6449 0.9948  6 O 2.02-2.17
V 0.8912 0.3128 0.7181  1 O 1.74
O 0.0283 0.9837 0.3210  1 Ti 1.92, 2 V 1.95-2.00
O 0.0364 0.9593 0.8047  1 Mg 1.90, 2 Ti 2.00-2.02, 1 V 2.02
O 0.0727 0.4522 0.3557  1 Ti 1.88, 2 V 1.99-2.08
O 0.1837 0.6332 0.6105  2 Ti 1.89-2.05, 1 V 2.05
O 0.2145 0.1409 0.6095  2 V 1.82-1.97
O 0.3434 0.8301 0.1017  1 Mg 2.02, 2 V 2.02-2.03
O 0.3767 0.3363 0.1384  2 V 1.94-1.99, 1 Ti 1.98
O 0.4954 0.4884 0.3671  1 V 1.76
O 0.5215 0.0452 0.3617  3 V 1.92-2.05
O 0.5446 0.4853 0.8371  1 Ti 1.81
O 0.5763 0.9039 0.8347  1 Ti 1.87, 1 V 2.04
O 0.6876 0.1615 0.6097  1 Ti 1.84, 1 V 2.05
O 0.7000 0.6370 0.6081  2 Ti 1.93-1.95, 1 V 1.99
O 0.8600 0.3127 0.1113  1 Mg 1.97, 3 V 2.01-2.17
O 0.8706 0.7997 0.1081  1 Ti 1.86, 1 Mg 1.99
O 0.9876 0.4524 0.8442  1 V 1.74

Results
electronic total energy	-8.00	eV per atom

First-principles (PBE+U) data for an optimized crystal structure of Mg2TiVO6, as listed in Alexandria via LeMat-Bulk.

Lattice parameters (Å, degrees): 5.2896 5.2896 4.6761 90.00 90.00 90.00
With the nearest neighbours (Å) after each atom.
Positions (direct):
Mg 0.0000 0.5000 0.0000  4 O 2.04
Mg 0.5000 0.0000 0.0000  4 O 2.04
Ti 0.0000 0.0000 0.6920  1 O 1.72
V 0.5000 0.5000 0.6835  1 O 1.68
O 0.0000 0.0000 0.3242  1 Ti 1.72
O 0.2513 0.2513 0.8274  1 V 1.98, 1 Ti 1.98, 2 Mg 2.04
O 0.2513 0.7487 0.8274  1 V 1.98, 1 Ti 1.98, 2 Mg 2.04
O 0.5000 0.5000 0.3241  1 V 1.68
O 0.7487 0.2513 0.8274  1 V 1.98, 1 Ti 1.98, 2 Mg 2.04
O 0.7487 0.7487 0.8274  1 V 1.98, 1 Ti 1.98, 2 Mg 2.04

Results
electronic total energy	-7.27	eV per atom

Q: Among the records above, which one has the highest electronic total energy?
A: Mg2TiVO6

Q: Look up the electronic total energy of the third one.
A: -8.04 eV per atom